# RbBeW, relaxed, DFT PBE-GGA
# Crystal system: cubic
# Total DFT energy (no corrections): -3.394 eV per atom
data_RbBeW
_chemical_formula_sum 'Rb4 Be4 W4'
_cell_length_a 6.773
_cell_length_b 6.773
_cell_length_c 6.773
_cell_angle_alpha 90.00
_cell_angle_beta 90.00
_cell_angle_gamma 90.00
_symmetry_space_group_name_H-M 'F -4 3 m'
_symmetry_Int_Tables_number 216
_symmetry_space_group_name_Hall 'F -4 2 3'
loop_
_atom_site_label
_atom_site_type_symbol
_atom_site_fract_x
_atom_site_fract_y
_atom_site_fract_z
Rb1 Rb 0.000 0.000 0.000
Be1 Be 0.250 0.250 0.250
W1 W 0.000 0.000 0.500